A geometry-optimized Co2AsOs structure, computed with PBE.

Output
The calculated formation energy comes out at 92 kJ/mol of formula units. The crystal system is cubic. For the density of states at the Fermi level, the calculation gives 0.935 states/eV/atom. The calculation puts the total magnetic moment at 2.620 μB per formula unit. For the final energy, the calculation gives -7.2834 eV per atom.

The structure in CIF format:
```
data_Co2AsOs
_cell_length_a 5.883
_cell_length_b 5.883
_cell_length_c 5.883
_cell_angle_alpha 90.00
_cell_angle_beta 90.00
_cell_angle_gamma 90.00
_symmetry_space_group_name_H-M 'F -4 3 m'
_symmetry_Int_Tables_number 216
_symmetry_space_group_name_Hall 'F -4 2 3'
loop_
_atom_site_label
_atom_site_type_symbol
_atom_site_fract_x
_atom_site_fract_y
_atom_site_fract_z
_atom_site_occupancy
Co1 Co 0.000 0.000 0.000 1
Co2 Co 0.250 0.250 0.250 1
As1 As 0.000 0.000 0.500 1
Os1 Os 0.250 0.250 0.750 1
```